! Pm11In9Ga4 | Alexandria via LeMat-Bulk | PBE-GGA | relaxed; values from VASP
! volume	27.0	A^3/atom
! density	7.45	g/cm³
! SG	Cmmm, No. 65
! formation energy from the elements	-12.56	eV/f.u.
&SYSTEM
  ibrav = 0, nat = 24, ntyp = 3
/
ATOMIC_SPECIES
Pm 145.00 Pm.upf
In 114.82 In.upf
Ga 69.72 Ga.upf
ATOMIC_POSITIONS crystal
Pm 0.000 0.587 0.928
Pm 0.000 0.413 0.072
Pm 0.000 0.928 0.587
Pm 0.000 0.072 0.413
Pm 0.000 0.631 0.369
Pm 0.000 0.369 0.631
Pm 0.000 0.829 0.171
Pm 0.000 0.171 0.829
Pm 0.000 0.000 0.000
Pm 0.000 0.702 0.702
Pm 0.000 0.298 0.298
In 0.500 0.626 0.152
In 0.500 0.374 0.848
In 0.500 0.152 0.626
In 0.500 0.848 0.374
In 0.500 0.788 0.938
In 0.500 0.212 0.062
In 0.500 0.938 0.788
In 0.500 0.062 0.212
In 0.500 0.500 0.500
Ga 0.500 0.551 0.749
Ga 0.500 0.449 0.251
Ga 0.500 0.749 0.551
Ga 0.500 0.251 0.449
CELL_PARAMETERS angstrom
4.346 0.000 0.000
0.000 11.711 -4.921
0.000 0.077 12.703